Entry 1:
Material: CaTiBr2
Method: DFT, GGA-PBEsol
State: relaxed

The structure belongs to space group I-42d (No. 122); the cell edges are 5.1562, 5.1562 and 16.6114 Å and the angles 90.00°, 90.00° and 90.00°. The asymmetric unit holds Ca at (0.0000, 0.0000, 0.0000), Ti at (0.0000, 0.0000, 0.5000) and Br at (0.2183, 0.2500, 0.6250).

Entry 2:
Material: CaTl2Br
Method: DFT, GGA-PBEsol
State: relaxed

For the energy relative to the lowest polymorph listed for this composition, the calculation gives 0 meV per atom.

The structure belongs to space group Pm (No. 6); the cell edges are 3.5686, 3.5704 and 9.0239 Å and the angles 90.00°, 90.28° and 90.00°. The asymmetric unit holds Ca at (0.0000, 0.0000, 0.0000), Tl at (0.0086, 0.0000, 0.4920), Tl at (0.5043, 0.5000, 0.2505) and Br at (0.4975, 0.5000, 0.8265).

Entry 3:
Material: CaTl3Br
Method: DFT, GGA-PBEsol
State: relaxed

The structure belongs to space group Pm-3m (No. 221); the cell edges are 5.9446, 5.9446 and 5.9446 Å and the angles 90.00°, 90.00° and 90.00°. The asymmetric unit holds Ca at (0.0000, 0.0000, 0.0000), Tl at (0.0000, 0.0000, 0.5000) and Br at (0.5000, 0.5000, 0.5000).

Entry 4:
Material: CaTl2Br
Method: DFT, GGA-PBEsol
State: relaxed

For the energy relative to the lowest polymorph listed for this composition, the calculation gives 106 meV per atom.

The structure belongs to space group Cm (No. 8); the cell edges are 10.4757, 3.6594 and 6.0568 Å and the angles 90.00°, 100.25° and 90.00°. The asymmetric unit holds Ca at (0.0000, 0.0000, 0.0000), Tl at (0.2511, 0.5000, 0.3559), Tl at (0.4945, 0.0000, 0.5292) and Br at (0.2767, 0.0000, 0.8969).

Entry 5:
Material: CaTl2Br
Method: DFT, GGA-PBEsol
State: relaxed

For the energy relative to the lowest polymorph listed for this composition, the calculation gives 113 meV per atom.

The structure belongs to space group Fmmm (No. 69); the cell edges are 5.9889, 6.4212 and 12.1118 Å and the angles 90.00°, 90.00° and 90.00°. The asymmetric unit holds Ca at (0.0000, 0.0000, 0.0000), Tl at (0.0000, 0.2500, 0.2500) and Br at (0.0000, 0.0000, 0.5000).

Entry 6:
Material: CaTlBr3
Method: DFT, GGA-PBEsol
State: relaxed

The structure belongs to space group Cmcm (No. 63); the cell edges are 4.2041, 13.8371 and 10.7104 Å and the angles 90.00°, 90.00° and 90.00°. The asymmetric unit holds Ca at (0.0000, 0.0000, 0.0000), Tl at (0.0000, 0.2562, 0.2500), Br at (0.0000, 0.0689, 0.7500) and Br at (0.0000, 0.3628, 0.5494).

Entry 7:
Material: CaWBr
Method: DFT, GGA-PBEsol
State: relaxed

The structure belongs to space group I4mm (No. 107); the cell edges are 3.1067, 3.1067 and 12.5919 Å and the angles 90.00°, 90.00° and 90.00°. The asymmetric unit holds Ca at (0.0000, 0.0000, 0.0000), W at (0.0000, 0.0000, 0.3227) and Br at (0.0000, 0.0000, 0.6832).

Entry 8:
Material: CaW2Br
Method: DFT, GGA-PBEsol
State: relaxed

The structure belongs to space group C2/m (No. 12); the cell edges are 12.3855, 3.2483 and 4.1861 Å and the angles 90.00°, 107.63° and 90.00°. The asymmetric unit holds Ca at (0.0000, 0.0000, 0.0000), W at (0.2263, 0.5000, 0.7506) and Br at (0.0000, 0.5000, 0.5000).

Record-wise ΔE_f (raw) values, in meV/atom: -581, -705, 320, -599, -592, -1543, 592, 460
Record-wise total DFT energy (no corrections) values, in eV per atom: -4.129, -3.021, -2.059, -2.915, -2.908, -3.617, -5.345, -7.444
Record-wise N(E_F) values, in states/eV/atom: 0.728, 0.558, 1.251, 0.355, 0.530, 0.000, 0.544, 0.660